VASP calculation (PBE-GGA) on crystalline Al2ReBr at its relaxed geometry.

```
Al2ReBr
1.0
4.920 0.000 0.000
0.000 4.920 0.000
0.000 0.000 2.835
Al Re Br
2 1 1
direct
0.000 0.500 0.000
0.500 0.000 0.000
0.000 0.000 0.500
0.500 0.500 0.500
```

Results
**Uncorrected formation energy**: 1.43 eV per formula unit
**Excess energy over the best structure of this formula in the dataset**: 1.81 eV per formula unit

VASP calculation (PBE-GGA) on crystalline Al2ReBr at its relaxed geometry.

```
Al2ReBr
1.0
0.000 3.221 3.221
3.221 0.000 3.221
3.221 3.221 0.000
Al Re Br
2 1 1
direct
0.250 0.250 0.250
0.750 0.750 0.750
0.000 0.000 0.000
0.500 0.500 0.500
```

Results
**Uncorrected formation energy**: 3.35 eV per formula unit
**Excess energy over the best structure of this formula in the dataset**: 3.73 eV per formula unit

VASP calculation (PBE-GGA) on crystalline AlRe2Br at its relaxed geometry.

```
AlRe2Br
1.0
3.638 0.000 0.000
0.000 4.543 0.000
-1.427 0.000 5.420
Al Re Br
1 2 1
direct
0.000 0.000 0.000
0.310 0.500 0.139
0.690 0.500 0.861
0.500 0.000 0.500
```

Results
**Uncorrected formation energy**: 2.96 eV per formula unit
**Excess energy over the best structure of this formula in the dataset**: 2.44 eV per formula unit